# 1
# Sm2GaH2O6 PBE relaxed
data_Sm2GaH2O6
_cell_length_a 5.779
_cell_length_b 5.779
_cell_length_c 5.779
_cell_angle_alpha 51.61
_cell_angle_beta 51.61
_cell_angle_gamma 51.61
_space_group_name_H-M_alt 'P 1'
_space_group_IT_number 1
loop_
_space_group_symop_operation_xyz
'x,y,z'
loop_
_atom_site_label
_atom_site_fract_x
_atom_site_fract_y
_atom_site_fract_z
_atom_site_occupancy
Sm1 0.224 0.224 0.224 1
Sm2 0.776 0.776 0.776 1
Ga1 0.000 0.000 0.000 1
H1 0.421 0.421 0.421 1
H2 0.579 0.579 0.579 1
O1 0.253 0.744 0.744 1
O2 0.256 0.256 0.747 1
O3 0.256 0.747 0.256 1
O4 0.744 0.253 0.744 1
O5 0.744 0.744 0.253 1
O6 0.747 0.256 0.256 1
# **V**: 9.956 Å³ per atom
# **Fermi-level density of states**: 5.0 states/eV/cell
# **Space-group type**: R-3m (166)
# **VASP energy**: -6.32 eV per atom

# 2
# LiMgAg2 PBE relaxed
data_LiMgAg2
_cell_length_a 3.019
_cell_length_b 3.019
_cell_length_c 9.178
_cell_angle_alpha 98.67
_cell_angle_beta 98.67
_cell_angle_gamma 60.65
_space_group_name_H-M_alt 'P 1'
_space_group_IT_number 1
loop_
_space_group_symop_operation_xyz
'x,y,z'
loop_
_atom_site_label
_atom_site_fract_x
_atom_site_fract_y
_atom_site_fract_z
_atom_site_occupancy
Li1 0.000 0.000 0.000 1
Mg1 0.164 0.164 0.500 1
Ag1 0.418 0.418 0.243 1
Ag2 0.585 0.585 0.757 1
# **Formation enthalpy at 0 K**: -0.120 eV per atom
# **V**: 17.951 Å³ per atom
# **Fermi-level density of states**: 1.5 states/eV/cell
# **Space-group type**: Cm (8)
# **VASP energy**: -2.42 eV per atom

# 3
# SbI2NO PBE relaxed
data_SbI2NO
_cell_length_a 4.722
_cell_length_b 4.722
_cell_length_c 4.945
_cell_angle_alpha 90.00
_cell_angle_beta 90.00
_cell_angle_gamma 90.00
_space_group_name_H-M_alt 'P 1'
_space_group_IT_number 1
loop_
_space_group_symop_operation_xyz
'x,y,z'
loop_
_atom_site_label
_atom_site_fract_x
_atom_site_fract_y
_atom_site_fract_z
_atom_site_occupancy
Sb1 0.000 0.000 0.000 1
I1 0.000 0.500 0.500 1
I2 0.500 0.000 0.500 1
N1 0.000 0.000 0.500 1
O1 0.500 0.500 0.000 1
# **V**: 22.057 Å³ per atom
# **Fermi-level density of states**: 5.5 states/eV/cell
# **Space-group type**: P4/mmm (123)
# **VASP energy**: -2.87 eV per atom

# 4
# Sr2LiPb2 PBE relaxed
data_Sr2LiPb2
_cell_length_a 6.608
_cell_length_b 6.608
_cell_length_c 12.090
_cell_angle_alpha 115.58
_cell_angle_beta 115.58
_cell_angle_gamma 44.49
_space_group_name_H-M_alt 'P 1'
_space_group_IT_number 1
loop_
_space_group_symop_operation_xyz
'x,y,z'
loop_
_atom_site_label
_atom_site_fract_x
_atom_site_fract_y
_atom_site_fract_z
_atom_site_occupancy
Sr1 0.012 0.012 0.335 1
Sr2 0.183 0.183 0.101 1
Sr3 0.817 0.817 0.899 1
Sr4 0.988 0.988 0.665 1
Li1 0.277 0.277 0.639 1
Li2 0.723 0.723 0.361 1
Pb1 0.355 0.355 0.430 1
Pb2 0.483 0.483 0.123 1
Pb3 0.517 0.517 0.877 1
Pb4 0.645 0.645 0.570 1
# **Formation enthalpy at 0 K**: -0.496 eV per atom
# **V**: 32.722 Å³ per atom
# **Fermi-level density of states**: 6.3 states/eV/cell
# **Space-group type**: C2/m (12)
# **VASP energy**: -3.03 eV per atom

# 5
# RbPdSe2 PBE relaxed
data_RbPdSe2
_cell_length_a 6.750
_cell_length_b 6.750
_cell_length_c 6.750
_cell_angle_alpha 108.30
_cell_angle_beta 108.30
_cell_angle_gamma 111.84
_space_group_name_H-M_alt 'P 1'
_space_group_IT_number 1
loop_
_space_group_symop_operation_xyz
'x,y,z'
loop_
_atom_site_label
_atom_site_fract_x
_atom_site_fract_y
_atom_site_fract_z
_atom_site_occupancy
Rb1 0.000 0.000 0.000 1
Rb2 0.750 0.250 0.500 1
Pd1 0.250 0.750 0.500 1
Pd2 0.500 0.500 0.000 1
Se1 0.236 0.125 0.611 1
Se2 0.375 0.764 0.889 1
Se3 0.514 0.625 0.389 1
Se4 0.875 0.486 0.111 1
# **V**: 29.559 Å³ per atom
# **Fermi-level density of states**: 8.8 states/eV/cell
# **Space-group type**: I-42d (122)
# **VASP energy**: -3.79 eV per atom

# 6
# NbHg3Pb PBE relaxed
data_NbHg3Pb
_cell_length_a 5.390
_cell_length_b 5.390
_cell_length_c 5.390
_cell_angle_alpha 90.00
_cell_angle_beta 90.00
_cell_angle_gamma 90.00
_space_group_name_H-M_alt 'P 1'
_space_group_IT_number 1
loop_
_space_group_symop_operation_xyz
'x,y,z'
loop_
_atom_site_label
_atom_site_fract_x
_atom_site_fract_y
_atom_site_fract_z
_atom_site_occupancy
Nb1 0.000 0.000 0.000 1
Hg1 0.000 0.000 0.500 1
Hg2 0.000 0.500 0.000 1
Hg3 0.500 0.000 0.000 1
Pb1 0.500 0.500 0.500 1
# **Formation enthalpy at 0 K**: 0.686 eV per atom
# **V**: 31.318 Å³ per atom
# **Fermi-level density of states**: 4.2 states/eV/cell
# **Space-group type**: Pm-3m (221)
# **VASP energy**: -2.25 eV per atom

# 7
# Ac4LaCd PBE relaxed
data_Ac4LaCd
_cell_length_a 11.168
_cell_length_b 11.168
_cell_length_c 7.257
_cell_angle_alpha 99.80
_cell_angle_beta 99.80
_cell_angle_gamma 141.04
_space_group_name_H-M_alt 'P 1'
_space_group_IT_number 1
loop_
_space_group_symop_operation_xyz
'x,y,z'
loop_
_atom_site_label
_atom_site_fract_x
_atom_site_fract_y
_atom_site_fract_z
_atom_site_occupancy
Ac1 0.017 0.449 0.223 1
Ac2 0.205 0.274 0.222 1
Ac3 0.274 0.205 0.722 1
Ac4 0.449 0.017 0.723 1
Ac5 0.551 0.983 0.277 1
Ac6 0.726 0.795 0.278 1
Ac7 0.795 0.726 0.778 1
Ac8 0.983 0.551 0.777 1
La1 0.375 0.625 0.750 1
La2 0.625 0.375 0.250 1
Cd1 0.125 0.875 0.250 1
Cd2 0.875 0.125 0.750 1
# **Formation enthalpy at 0 K**: 0.081 eV per atom
# **V**: 40.786 Å³ per atom
# **Fermi-level density of states**: 17.6 states/eV/cell
# **Space-group type**: C2/c (15)
# **VASP energy**: -3.63 eV per atom

# 8
# NdGe6Pt12 PBE relaxed
data_NdGe6Pt12
_cell_length_a 7.309
_cell_length_b 7.309
_cell_length_c 7.309
_cell_angle_alpha 105.96
_cell_angle_beta 105.96
_cell_angle_gamma 105.96
_space_group_name_H-M_alt 'P 1'
_space_group_IT_number 1
loop_
_space_group_symop_operation_xyz
'x,y,z'
loop_
_atom_site_label
_atom_site_fract_x
_atom_site_fract_y
_atom_site_fract_z
_atom_site_occupancy
Nd1 0.000 0.000 0.000 1
Ge1 0.263 0.263 0.687 1
Ge2 0.263 0.687 0.263 1
Ge3 0.313 0.737 0.737 1
Ge4 0.687 0.263 0.263 1
Ge5 0.737 0.313 0.737 1
Ge6 0.737 0.737 0.313 1
Pt1 0.125 0.500 0.875 1
Pt2 0.125 0.875 0.500 1
Pt3 0.150 0.389 0.389 1
Pt4 0.389 0.150 0.389 1
Pt5 0.389 0.389 0.150 1
Pt6 0.500 0.125 0.875 1
Pt7 0.500 0.875 0.125 1
Pt8 0.611 0.611 0.850 1
Pt9 0.611 0.850 0.611 1
Pt10 0.850 0.611 0.611 1
Pt11 0.875 0.125 0.500 1
Pt12 0.875 0.500 0.125 1
# **Formation enthalpy at 0 K**: -0.416 eV per atom
# **V**: 17.575 Å³ per atom
# **Fermi-level density of states**: 11.4 states/eV/cell
# **Space-group type**: R-3m (166)
# **VASP energy**: -5.94 eV per atom

# 9
# CaOsRu PBE relaxed
data_CaOsRu
_cell_length_a 5.593
_cell_length_b 5.593
_cell_length_c 5.593
_cell_angle_alpha 133.99
_cell_angle_beta 99.14
_cell_angle_gamma 98.43
_space_group_name_H-M_alt 'P 1'
_space_group_IT_number 1
loop_
_space_group_symop_operation_xyz
'x,y,z'
loop_
_atom_site_label
_atom_site_fract_x
_atom_site_fract_y
_atom_site_fract_z
_atom_site_occupancy
Ca1 0.000 0.000 0.000 1
Ca2 0.647 0.147 0.500 1
Os1 0.245 0.410 0.835 1
Os2 0.575 0.410 0.165 1
Ru1 0.065 0.734 0.331 1
Ru2 0.404 0.734 0.669 1
# **Formation enthalpy at 0 K**: 0.110 eV per atom
# **V**: 19.312 Å³ per atom
# **Fermi-level density of states**: 4.0 states/eV/cell
# **Space-group type**: Imm2 (44)
# **VASP energy**: -7.39 eV per atom

# 10
# Nd2Al PBE relaxed
data_Nd2Al
_cell_length_a 6.345
_cell_length_b 6.345
_cell_length_c 6.345
_cell_angle_alpha 60.00
_cell_angle_beta 60.00
_cell_angle_gamma 60.00
_space_group_name_H-M_alt 'P 1'
_space_group_IT_number 1
loop_
_space_group_symop_operation_xyz
'x,y,z'
loop_
_atom_site_label
_atom_site_fract_x
_atom_site_fract_y
_atom_site_fract_z
_atom_site_occupancy
Nd1 0.000 0.000 0.000 1
Nd2 0.000 0.000 0.500 1
Nd3 0.000 0.500 0.000 1
Nd4 0.500 0.000 0.000 1
Al1 0.375 0.375 0.375 1
Al2 0.625 0.625 0.625 1
# **Formation enthalpy at 0 K**: 0.367 eV per atom
# **V**: 30.111 Å³ per atom
# **Fermi-level density of states**: 7.3 states/eV/cell
# **Space-group type**: Fd-3m (227)
# **VASP energy**: -4.06 eV per atom

# 11
# HfGaI5 PBE relaxed
data_HfGaI5
_cell_length_a 8.004
_cell_length_b 8.004
_cell_length_c 11.031
_cell_angle_alpha 108.96
_cell_angle_beta 108.96
_cell_angle_gamma 72.06
_space_group_name_H-M_alt 'P 1'
_space_group_IT_number 1
loop_
_space_group_symop_operation_xyz
'x,y,z'
loop_
_atom_site_label
_atom_site_fract_x
_atom_site_fract_y
_atom_site_fract_z
_atom_site_occupancy
Hf1 0.000 0.000 0.000 1
Hf2 0.000 0.000 0.500 1
Ga1 0.498 0.502 0.750 1
Ga2 0.502 0.498 0.250 1
I1 0.110 0.890 0.750 1
I2 0.131 0.315 0.634 1
I3 0.194 0.648 0.029 1
I4 0.315 0.131 0.134 1
I5 0.352 0.806 0.471 1
I6 0.648 0.194 0.529 1
I7 0.685 0.869 0.866 1
I8 0.806 0.352 0.971 1
I9 0.869 0.685 0.366 1
I10 0.890 0.110 0.250 1
# **V**: 43.975 Å³ per atom
# **Space-group type**: C2/c (15)
# **VASP energy**: -3.62 eV per atom

# 12
# CsLi2AgBi PBE relaxed
data_CsLi2AgBi
_cell_length_a 5.382
_cell_length_b 5.382
_cell_length_c 5.732
_cell_angle_alpha 90.00
_cell_angle_beta 90.00
_cell_angle_gamma 90.00
_space_group_name_H-M_alt 'P 1'
_space_group_IT_number 1
loop_
_space_group_symop_operation_xyz
'x,y,z'
loop_
_atom_site_label
_atom_site_fract_x
_atom_site_fract_y
_atom_site_fract_z
_atom_site_occupancy
Cs1 0.000 0.000 0.000 1
Li1 0.000 0.500 0.000 1
Li2 0.500 0.000 0.000 1
Ag1 0.000 0.000 0.500 1
Bi1 0.500 0.500 0.500 1
# **Formation enthalpy at 0 K**: 0.825 eV per atom
# **V**: 33.206 Å³ per atom
# **Fermi-level density of states**: 3.8 states/eV/cell
# **Space-group type**: P4/mmm (123)
# **VASP energy**: -1.46 eV per atom

# 13
# AcNdScAl PBE relaxed
data_AcNdScAl
_cell_length_a 5.447
_cell_length_b 5.447
_cell_length_c 5.447
_cell_angle_alpha 60.00
_cell_angle_beta 60.00
_cell_angle_gamma 60.00
_space_group_name_H-M_alt 'P 1'
_space_group_IT_number 1
loop_
_space_group_symop_operation_xyz
'x,y,z'
loop_
_atom_site_label
_atom_site_fract_x
_atom_site_fract_y
_atom_site_fract_z
_atom_site_occupancy
Ac1 0.000 0.000 0.000 1
Nd1 0.750 0.750 0.750 1
Sc1 0.250 0.250 0.250 1
Al1 0.500 0.500 0.500 1
# **Formation enthalpy at 0 K**: 0.080 eV per atom
# **V**: 28.573 Å³ per atom
# **Fermi-level density of states**: 7.3 states/eV/cell
# **Space-group type**: F-43m (216)
# **VASP energy**: -4.66 eV per atom

# 14
# MnCo PBE relaxed
data_MnCo
_cell_length_a 2.487
_cell_length_b 12.019
_cell_length_c 4.298
_cell_angle_alpha 90.00
_cell_angle_beta 90.00
_cell_angle_gamma 90.00
_space_group_name_H-M_alt 'P 1'
_space_group_IT_number 1
loop_
_space_group_symop_operation_xyz
'x,y,z'
loop_
_atom_site_label
_atom_site_fract_x
_atom_site_fract_y
_atom_site_fract_z
_atom_site_occupancy
Mn1 0.250 0.088 0.088 1
Mn2 0.250 0.412 0.088 1
Mn3 0.250 0.750 0.744 1
Mn4 0.750 0.250 0.256 1
Mn5 0.750 0.588 0.912 1
Mn6 0.750 0.912 0.912 1
Co1 0.250 0.250 0.744 1
Co2 0.250 0.582 0.412 1
Co3 0.250 0.918 0.412 1
Co4 0.750 0.082 0.588 1
Co5 0.750 0.418 0.588 1
Co6 0.750 0.750 0.256 1
# **Formation enthalpy at 0 K**: 0.079 eV per atom
# **V**: 10.705 Å³ per atom
# **Fermi-level density of states**: 17.1 states/eV/cell
# **Space-group type**: Pmmn (59)
# **VASP energy**: -8.06 eV per atom

# 15
# SiRuCl2 PBE relaxed
data_SiRuCl2
_cell_length_a 2.953
_cell_length_b 4.265
_cell_length_c 5.387
_cell_angle_alpha 90.00
_cell_angle_beta 90.00
_cell_angle_gamma 90.00
_space_group_name_H-M_alt 'P 1'
_space_group_IT_number 1
loop_
_space_group_symop_operation_xyz
'x,y,z'
loop_
_atom_site_label
_atom_site_fract_x
_atom_site_fract_y
_atom_site_fract_z
_atom_site_occupancy
Si1 0.000 0.000 0.000 1
Ru1 0.500 0.000 0.500 1
Cl1 0.000 0.500 0.500 1
Cl2 0.500 0.500 0.000 1
# **V**: 16.962 Å³ per atom
# **Fermi-level density of states**: 3.6 states/eV/cell
# **Space-group type**: Pmmm (47)
# **VASP energy**: -4.08 eV per atom

# 16
# Li2HIrPt PBE relaxed
data_Li2HIrPt
_cell_length_a 3.894
_cell_length_b 3.894
_cell_length_c 3.662
_cell_angle_alpha 90.00
_cell_angle_beta 90.00
_cell_angle_gamma 90.00
_space_group_name_H-M_alt 'P 1'
_space_group_IT_number 1
loop_
_space_group_symop_operation_xyz
'x,y,z'
loop_
_atom_site_label
_atom_site_fract_x
_atom_site_fract_y
_atom_site_fract_z
_atom_site_occupancy
Li1 0.000 0.500 0.000 1
Li2 0.500 0.000 0.000 1
H1 0.000 0.000 0.000 1
Ir1 0.000 0.000 0.500 1
Pt1 0.500 0.500 0.500 1
# **V**: 11.105 Å³ per atom
# **Fermi-level density of states**: 2.2 states/eV/cell
# **Space-group type**: P4/mmm (123)
# **VASP energy**: -4.69 eV per atom

# 17
# CaSm2Bi PBE relaxed
data_CaSm2Bi
_cell_length_a 4.912
_cell_length_b 4.912
_cell_length_c 5.156
_cell_angle_alpha 90.00
_cell_angle_beta 90.00
_cell_angle_gamma 90.00
_space_group_name_H-M_alt 'P 1'
_space_group_IT_number 1
loop_
_space_group_symop_operation_xyz
'x,y,z'
loop_
_atom_site_label
_atom_site_fract_x
_atom_site_fract_y
_atom_site_fract_z
_atom_site_occupancy
Ca1 0.000 0.000 0.000 1
Sm1 0.000 0.500 0.500 1
Sm2 0.500 0.000 0.500 1
Bi1 0.500 0.500 0.000 1
# **Formation enthalpy at 0 K**: -0.354 eV per atom
# **V**: 31.106 Å³ per atom
# **Fermi-level density of states**: 4.4 states/eV/cell
# **Space-group type**: P4/mmm (123)
# **VASP energy**: -4.18 eV per atom

# 18
# Nd2HoScS6 PBE relaxed
data_Nd2HoScS6
_cell_length_a 6.612
_cell_length_b 7.256
_cell_length_c 11.748
_cell_angle_alpha 90.00
_cell_angle_beta 123.41
_cell_angle_gamma 90.00
_space_group_name_H-M_alt 'P 1'
_space_group_IT_number 1
loop_
_space_group_symop_operation_xyz
'x,y,z'
loop_
_atom_site_label
_atom_site_fract_x
_atom_site_fract_y
_atom_site_fract_z
_atom_site_occupancy
Nd1 0.210 0.096 0.248 1
Nd2 0.210 0.404 0.748 1
Nd3 0.790 0.596 0.252 1
Nd4 0.790 0.904 0.752 1
Ho1 0.500 0.000 0.000 1
Ho2 0.500 0.500 0.500 1
Sc1 0.000 0.000 0.500 1
Sc2 0.000 0.500 0.000 1
S1 0.103 0.192 0.931 1
S2 0.103 0.308 0.431 1
S3 0.246 0.682 0.931 1
S4 0.246 0.818 0.431 1
S5 0.382 0.047 0.743 1
S6 0.382 0.453 0.243 1
S7 0.618 0.547 0.757 1
S8 0.618 0.953 0.257 1
S9 0.754 0.182 0.569 1
S10 0.754 0.318 0.069 1
S11 0.897 0.692 0.569 1
S12 0.897 0.808 0.069 1
# **V**: 23.525 Å³ per atom
# **Fermi-level density of states**: 0.0 states/eV/cell
# **Space-group type**: P2_1/c (14)
# **VASP energy**: -6.55 eV per atom

# 19
# NdCdPdPb PBE relaxed
data_NdCdPdPb
_cell_length_a 5.128
_cell_length_b 5.128
_cell_length_c 5.128
_cell_angle_alpha 60.00
_cell_angle_beta 60.00
_cell_angle_gamma 60.00
_space_group_name_H-M_alt 'P 1'
_space_group_IT_number 1
loop_
_space_group_symop_operation_xyz
'x,y,z'
loop_
_atom_site_label
_atom_site_fract_x
_atom_site_fract_y
_atom_site_fract_z
_atom_site_occupancy
Nd1 0.000 0.000 0.000 1
Cd1 0.250 0.250 0.250 1
Pd1 0.750 0.750 0.750 1
Pb1 0.500 0.500 0.500 1
# **Formation enthalpy at 0 K**: -0.432 eV per atom
# **V**: 23.838 Å³ per atom
# **Fermi-level density of states**: 2.1 states/eV/cell
# **Space-group type**: F-43m (216)
# **VASP energy**: -4.08 eV per atom

# 20
# MgBe2Ir PBE relaxed
data_MgBe2Ir
_cell_length_a 4.692
_cell_length_b 4.692
_cell_length_c 4.692
_cell_angle_alpha 136.50
_cell_angle_beta 136.50
_cell_angle_gamma 63.20
_space_group_name_H-M_alt 'P 1'
_space_group_IT_number 1
loop_
_space_group_symop_operation_xyz
'x,y,z'
loop_
_atom_site_label
_atom_site_fract_x
_atom_site_fract_y
_atom_site_fract_z
_atom_site_occupancy
Mg1 0.000 0.000 0.000 1
Be1 0.250 0.750 0.500 1
Be2 0.500 0.500 0.000 1
Ir1 0.750 0.250 0.500 1
# **Formation enthalpy at 0 K**: -0.168 eV per atom
# **V**: 12.081 Å³ per atom
# **Fermi-level density of states**: 1.5 states/eV/cell
# **Space-group type**: I-4m2 (119)
# **VASP energy**: -4.65 eV per atom